Entry from the Open Quantum Materials Database: crystalline TbMg at its relaxed geometry (PBE).

## Properties
Volume (Å³/f.u.): 55.1
Magnetic moment (Bohr magnetons per cell): 0.7
Space group: No. 59
Raw total energy (eV/f.u.): -6.2

Unit cell a=11.532 b=7.069 c=5.402 alpha=90.00 beta=90.00 gamma=90.00
Fractional positions:
Tb1 0.743 0.743 0.000
Tb2 0.480 0.500 0.000
Tb3 0.743 0.257 0.000
Tb4 0.187 0.000 0.500
Tb5 0.647 0.000 0.500
Tb6 0.924 0.757 0.500
Tb7 0.924 0.243 0.500
Tb8 0.020 0.500 0.000
Mg1 0.657 0.500 0.500
Mg2 0.420 0.257 0.500
Mg3 0.420 0.743 0.500
Mg4 0.193 0.500 0.500
Mg5 0.247 0.757 0.000
Mg6 0.009 0.000 0.000
Mg7 0.473 0.000 0.000
Mg8 0.247 0.243 0.000

=====

Entry from the Open Quantum Materials Database: crystalline ZrScSe2Br2 at its relaxed geometry (PBE).

## Properties
Volume (Å³/f.u.): 167.1
Magnetic moment (Bohr magnetons per cell): 0.0
Space group: No. 25
Raw total energy (eV/f.u.): -34.3

Unit cell a=3.764 b=5.375 c=8.258 alpha=90.00 beta=90.00 gamma=90.00
Fractional positions:
Sc1 0.500 0.000 0.115
Se1 0.500 0.500 0.127
Se2 0.000 0.000 0.876
Br1 0.500 0.500 0.649
Br2 0.000 0.000 0.344
Zr1 0.000 0.500 0.889

=====

Entry from the Open Quantum Materials Database: crystalline Rb2YTmTe4 at its relaxed geometry (PBE).

## Properties
Volume (Å³/f.u.): 298.8
Magnetic moment (Bohr magnetons per cell): 0.0
Space group: No. 164
Raw total energy (eV/f.u.): -36.4

Unit cell a=4.494 b=4.494 c=17.084 alpha=90.00 beta=90.00 gamma=120.00
Fractional positions:
Te1 0.333 0.667 0.401
Te2 0.667 0.333 0.899
Te3 0.667 0.333 0.599
Te4 0.333 0.667 0.101
Tm1 0.000 0.000 0.500
Rb1 0.667 0.333 0.251
Rb2 0.333 0.667 0.749
Y1 0.000 0.000 0.000

=====

Entry from the Open Quantum Materials Database: crystalline LiPd3Pb5 at its relaxed geometry (PBE).

## Properties
Volume (Å³/f.u.): 232.1
Space group: No. 191
Raw total energy (eV/f.u.): -37.3

Unit cell a=5.715 b=5.715 c=8.207 alpha=90.00 beta=90.00 gamma=120.00
Fractional positions:
Pb1 0.667 0.333 0.798
Pb2 0.667 0.333 0.202
Pb3 0.333 0.667 0.202
Pb4 0.333 0.667 0.798
Pb5 0.000 0.000 0.500
Li1 0.000 0.000 0.000
Pd1 0.500 0.500 0.500
Pd2 0.500 0.000 0.500
Pd3 0.000 0.500 0.500

=====

Entry from the Open Quantum Materials Database: crystalline AcCo12B6 at its relaxed geometry (PBE).

## Properties
Volume (Å³/f.u.): 195.3
Magnetic moment (Bohr magnetons per cell): 6.8
Space group: No. 166
Raw total energy (eV/f.u.): -135.7

Unit cell a=6.030 b=6.030 c=6.030 alpha=104.08 beta=104.08 gamma=104.08
Each line ends with the local moment (μB).
Fractional positions:
Co1 0.812 0.538 0.538  0.89
Co2 0.462 0.188 0.462  0.89
Co3 0.188 0.462 0.462  0.89
Co4 0.135 0.500 0.865  0.35
Co5 0.538 0.538 0.812  0.89
Co6 0.462 0.462 0.188  0.89
Co7 0.500 0.135 0.865  0.36
Co8 0.538 0.812 0.538  0.89
Co9 0.865 0.500 0.135  0.35
Co10 0.500 0.865 0.135  0.36
Co11 0.135 0.865 0.500  0.33
Co12 0.865 0.135 0.500  0.33
B1 0.665 0.230 0.230  -0.05
B2 0.770 0.770 0.335  -0.05
B3 0.770 0.335 0.770  -0.05
B4 0.335 0.770 0.770  -0.05
B5 0.230 0.665 0.230  -0.05
B6 0.230 0.230 0.665  -0.05
Ac1 0.000 0.000 0.000  -0.06

=====

Entry from the Open Quantum Materials Database: crystalline Hf3Si4Pt at its relaxed geometry (PBE).

## Properties
Volume (Å³/f.u.): 136.8
Magnetic moment (Bohr magnetons per cell): 0.0
Space group: No. 6
Raw total energy (eV/f.u.): -62.4

Unit cell a=5.140 b=3.740 c=7.117 alpha=90.00 beta=90.05 gamma=90.00
Fractional positions:
Si1 0.138 0.500 0.974
Si2 0.640 0.000 0.553
Si3 0.854 0.000 0.061
Si4 0.365 0.500 0.452
Hf1 0.635 0.500 0.827
Hf2 0.869 0.500 0.333
Hf3 0.119 0.000 0.698
Pt1 0.381 0.000 0.101

=====

Entry from the Open Quantum Materials Database: crystalline PrTmGa2Pd4 at its relaxed geometry (PBE).

## Properties
Volume (Å³/f.u.): 155.6
Magnetic moment (Bohr magnetons per cell): 0.0
Space group: No. 187
Raw total energy (eV/f.u.): -42.9

Unit cell a=4.396 b=4.396 c=9.298 alpha=90.00 beta=90.00 gamma=120.00
Fractional positions:
Ga1 0.333 0.667 0.756
Ga2 0.333 0.667 0.244
Pd1 0.000 0.000 0.159
Pd2 0.667 0.333 0.314
Pd3 0.000 0.000 0.841
Pd4 0.667 0.333 0.686
Tm1 0.667 0.333 0.000
Pr1 0.000 0.000 0.500

=====

Entry from the Open Quantum Materials Database: crystalline TaCoSi at its relaxed geometry (PBE).

## Properties
Volume (Å³/f.u.): 41.4
Magnetic moment (Bohr magnetons per cell): 0.0
Space group: No. 186
Raw total energy (eV/f.u.): -26.2

Unit cell a=3.972 b=3.972 c=6.063 alpha=90.00 beta=90.00 gamma=120.00
Fractional positions:
Ta1 0.000 0.000 0.722
Ta2 0.000 0.000 0.222
Si1 0.333 0.667 0.464
Si2 0.667 0.333 0.964
Co1 0.667 0.333 0.564
Co2 0.333 0.667 0.064

=====

Entry from the Open Quantum Materials Database: crystalline Zr4CoGe3 at its relaxed geometry (PBE).

## Properties
Volume (Å³/f.u.): 147.9
Magnetic moment (Bohr magnetons per cell): 0.0
Space group: No. 6
Raw total energy (eV/f.u.): -60.7

Unit cell a=5.409 b=3.847 c=7.110 alpha=90.00 beta=90.08 gamma=90.00
Fractional positions:
Zr1 0.372 0.500 0.683
Zr2 0.115 0.500 0.169
Zr3 0.869 0.000 0.840
Zr4 0.635 0.000 0.304
Co1 0.638 0.500 0.042
Ge1 0.368 0.000 0.961
Ge2 0.847 0.500 0.551
Ge3 0.156 0.000 0.451

=====

Entry from the Open Quantum Materials Database: crystalline Y2Zr2GaSb at its relaxed geometry (PBE).

## Properties
Volume (Å³/f.u.): 147.6
Magnetic moment (Bohr magnetons per cell): 0.4
Space group: No. 107
Raw total energy (eV/f.u.): -40.9

Unit cell a=8.719 b=8.719 c=8.719 alpha=151.81 beta=151.81 gamma=40.29
Each line ends with the local moment (μB).
Fractional positions:
Zr1 0.496 0.996 0.500  0.03
Zr2 0.996 0.496 0.500  0.02
Y1 0.328 0.328 0.000  0.06
Y2 0.681 0.681 0.000  0.07
Sb1 0.132 0.132 0.000  0.00
Ga1 0.868 0.868 0.000  0.00

=====

Entry from the Open Quantum Materials Database: crystalline YTlCuTe3 at its relaxed geometry (PBE).

## Properties
Volume (Å³/f.u.): 177.4
Magnetic moment (Bohr magnetons per cell): 0.0
Space group: No. 62
Raw total energy (eV/f.u.): -25.9

Unit cell a=12.460 b=4.351 c=13.087 alpha=90.00 beta=90.00 gamma=90.00
Fractional positions:
Cu1 0.738 0.250 0.196
Cu2 0.262 0.750 0.804
Cu3 0.762 0.750 0.696
Cu4 0.238 0.250 0.304
Te1 0.401 0.250 0.437
Te2 0.465 0.750 0.853
Te3 0.220 0.250 0.702
Te4 0.901 0.250 0.063
Te5 0.280 0.750 0.202
Te6 0.720 0.250 0.798
Te7 0.780 0.750 0.298
Te8 0.099 0.750 0.937
Te9 0.535 0.250 0.147
Te10 0.599 0.750 0.563
Te11 0.965 0.750 0.647
Te12 0.035 0.250 0.353
Y1 0.475 0.250 0.688
Y2 0.975 0.250 0.812
Y3 0.025 0.750 0.188
Y4 0.525 0.750 0.312
Tl1 0.686 0.750 0.006
Tl2 0.314 0.250 0.994
Tl3 0.186 0.750 0.494
Tl4 0.814 0.250 0.506

=====

Entry from the Open Quantum Materials Database: crystalline RbHoIn at its relaxed geometry (PBE).

## Properties
Volume (Å³/f.u.): 122.9
Polymorph energy (0 for the lowest one) (kJ per mole of atoms): 0.00
Magnetic moment (Bohr magnetons per cell): 0.0
Space group: No. 216
Raw total energy (eV/f.u.): -6.9

Unit cell a=5.581 b=5.581 c=5.581 alpha=60.00 beta=60.00 gamma=60.00
Fractional positions:
Ho1 0.250 0.250 0.250
Rb1 0.750 0.750 0.750
In1 0.000 0.000 0.000

=====

Entry from the Open Quantum Materials Database: crystalline TmLuSi2Ni at its relaxed geometry (PBE).

## Properties
Volume (Å³/f.u.): 90.0
Magnetic moment (Bohr magnetons per cell): 0.8
Space group: No. 12
Raw total energy (eV/f.u.): -29.6

Unit cell a=5.433 b=5.433 c=9.834 alpha=115.83 beta=115.83 gamma=44.68
Each line ends with the local moment (μB).
Fractional positions:
Si1 0.354 0.354 0.937  0.00
Si2 0.489 0.489 0.621  -0.01
Si3 0.646 0.646 0.063  0.00
Si4 0.511 0.511 0.379  -0.01
Ni1 0.726 0.726 0.858  0.04
Ni2 0.274 0.274 0.142  0.04
Tm1 0.188 0.188 0.606  0.20
Tm2 0.812 0.812 0.394  0.20
Lu1 0.006 0.006 0.830  0.07
Lu2 0.994 0.994 0.170  0.07

=====

Entry from the Open Quantum Materials Database: crystalline BOs2 at its relaxed geometry (PBE).

## Properties
Volume (Å³/f.u.): 89.3
Magnetic moment (Bohr magnetons per cell): 5.5
Space group: No. 227
Raw total energy (eV/f.u.): -20.5

Unit cell a=6.322 b=6.322 c=6.322 alpha=60.00 beta=60.00 gamma=60.00
Each line ends with the local moment (μB).
Fractional positions:
B1 0.250 0.250 0.250  -0.07
B2 0.500 0.500 0.500  -0.07
Os1 0.375 0.875 0.375  1.34
Os2 0.375 0.375 0.375  1.29
Os3 0.375 0.375 0.875  1.32
Os4 0.875 0.375 0.375  1.23

=====

Entry from the Open Quantum Materials Database: crystalline Dy2TmScGa2 at its relaxed geometry (PBE).

## Properties
Volume (Å³/f.u.): 143.2
Magnetic moment (Bohr magnetons per cell): 0.7
Space group: No. 187
Raw total energy (eV/f.u.): -28.5

Unit cell a=5.038 b=5.038 c=6.512 alpha=90.00 beta=90.00 gamma=120.00
Each line ends with the local moment (μB).
Fractional positions:
Tm1 0.333 0.667 0.500  0.08
Ga1 0.000 0.000 0.500  0.00
Ga2 0.333 0.667 0.000  -0.01
Dy1 0.667 0.333 0.757  0.13
Dy2 0.667 0.333 0.243  0.15
Sc1 0.000 0.000 0.000  0.14

=====

Entry from the Open Quantum Materials Database: crystalline YCoTcAs at its relaxed geometry (PBE).

## Properties
Volume (Å³/f.u.): 69.5
Polymorph energy (0 for the lowest one) (kJ per mole of atoms): 28.34
Magnetic moment (Bohr magnetons per cell): 3.9
Space group: No. 216
Raw total energy (eV/f.u.): -27.5

Unit cell a=4.614 b=4.614 c=4.614 alpha=60.00 beta=60.00 gamma=60.00
Fractional positions:
Y1 0.250 0.250 0.250
Co1 0.750 0.750 0.750
Tc1 0.500 0.500 0.500
As1 0.000 0.000 0.000

=====

Entry from the Open Quantum Materials Database: crystalline Tl2AuO4 at its relaxed geometry (PBE).

## Properties
Volume (Å³/f.u.): 108.7
Space group: No. 227
Raw total energy (eV/f.u.): -29.7

Unit cell a=6.748 b=6.748 c=6.748 alpha=119.99 beta=90.01 gamma=119.99
Fractional positions:
O1 0.134 0.731 0.866
O2 0.616 0.231 0.847
O3 0.616 0.231 0.384
O4 0.616 0.769 0.384
O5 0.153 0.769 0.384
O6 0.134 0.269 0.403
O7 0.134 0.269 0.866
O8 0.597 0.731 0.866
Au1 0.750 0.500 0.250
Au2 0.000 0.000 0.000
Tl1 0.375 0.250 0.625
Tl2 0.375 0.750 0.125
Tl3 0.875 0.250 0.625
Tl4 0.375 0.750 0.625

=====

Entry from the Open Quantum Materials Database: crystalline Li2LaScTl2Cd2 at its relaxed geometry (PBE).

## Properties
Volume (Å³/f.u.): 186.1
Magnetic moment (Bohr magnetons per cell): 0.0
Space group: No. 115
Raw total energy (eV/f.u.): -24.0

Unit cell a=5.027 b=5.027 c=7.364 alpha=90.00 beta=90.00 gamma=90.00
Fractional positions:
Li1 0.500 0.500 0.500
Li2 0.000 0.000 0.000
Cd1 0.000 0.500 0.222
Cd2 0.500 0.000 0.778
Sc1 0.500 0.500 0.000
La1 0.000 0.000 0.500
Tl1 0.000 0.500 0.775
Tl2 0.500 0.000 0.225

=====

Entry from the Open Quantum Materials Database: crystalline RbGdZr at its relaxed geometry (PBE).

## Properties
Volume (Å³/f.u.): 139.8
Magnetic moment (Bohr magnetons per cell): 5.2
Space group: No. 216
Raw total energy (eV/f.u.): -9.5

Unit cell a=5.825 b=5.825 c=5.825 alpha=60.00 beta=60.00 gamma=60.00
Each line ends with the local moment (μB).
Fractional positions:
Rb1 0.250 0.250 0.250  0.07
Zr1 0.750 0.750 0.750  1.67
Gd1 0.000 0.000 0.000  1.08

=====

Entry from the Open Quantum Materials Database: crystalline ReB2 at its relaxed geometry (PBE).

## Properties
Volume (Å³/f.u.): 32.7
Magnetic moment (Bohr magnetons per cell): 0.0
Space group: No. 225
Raw total energy (eV/f.u.): -23.1

Unit cell a=3.590 b=3.590 c=3.590 alpha=60.00 beta=60.00 gamma=60.00
Fractional positions:
B1 0.750 0.750 0.750
B2 0.250 0.250 0.250
Re1 0.000 0.000 0.000